Record 1
First-principles (PBE) data for crystalline DyHoCI at its relaxed geometry, as listed in OQMD via LeMat-Bulk.

a = 7.6978 Å, b = 7.6978 Å, c = 7.6978 Å
α = 28.26°, β = 28.26°, γ = 28.26°
Last column: nearest neighbours and their distance in Å.
Sites, in units of the cell vectors:
I: 0.9999 0.9999 0.9999  3 Ho 3.27, 3 Dy 3.28
C: 0.5004 0.5004 0.5004  3 Ho 2.49, 3 Dy 2.50
Dy: 0.7772 0.7772 0.7772  3 C 2.50
Ho: 0.2226 0.2226 0.2226  3 C 2.49

## Properties
The space group is R3m (160). As for the total energy: -5.732 eV per atom. As for the density: 8.57 Mg/m³.

=====

Record 2
First-principles (PBE) data for crystalline NbCd at its relaxed geometry, as listed in OQMD via LeMat-Bulk.

a = 4.3398 Å, b = 4.3398 Å, c = 4.3398 Å
α = 60.00°, β = 60.00°, γ = 60.00°
Last column: nearest neighbours and their distance in Å.
Sites, in units of the cell vectors:
Cd: 0.0000 0.0000 0.0000  4 Nb 2.66
Nb: 0.2500 0.2500 0.2500  4 Cd 2.66

## Properties
The space group is F-43m (216). As for the total energy: -3.407 eV per atom. The formation energy comes out at 2.0878 eV/atom. As for the density: 5.90 Mg/m³.

=====

The lowest density belongs to which entry? NbCd